# Na2NdErS4

A relaxed Na2NdErS4 crystal (PBE-GGA, Alexandria via LeMat-Bulk).

Calculated values
Symmetry: No. 10
Calculated total energy, eV for the cell shown: -43.0

Cell: 7.004 4.042 7.086 Å, 90.00 109.22 90.00°
Fractional positions:
1 Na 0.000 0.000 0.000
2 Na 0.500 0.500 0.000
3 Nd 0.000 0.500 0.500
4 Er 0.500 0.000 0.500
5 S 0.253 0.000 0.731
6 S 0.267 0.500 0.273
7 S 0.733 0.500 0.727
8 S 0.747 0.000 0.269